A plane-wave DFT calculation with PBEsol was carried out for crystalline InPt3 at its relaxed geometry.

Lattice parameters (Å, degrees): 4.727 4.727 2.982 90.00 90.00 106.61
Positions (direct):
1 In 0.000 0.000 0.000
2 Pt 0.000 0.500 0.500
3 Pt 0.500 0.000 0.500
4 Pt 0.500 0.500 0.000

Properties
SG ... Cmmm (65)
Energy relative to the elements ... -0.286 eV/atom
Crystal system ... orthorhombic